Density functional theory data (PBE) for NdPaPSe after structural relaxation.

Computed properties:
- Uncorrected formation energy: -1.44 eV/atom
- Electronic total energy: -28.9 eV for the cell shown
- M_tot: 0.9 μB/f.u.

Geometry as extended XYZ:
```
4
Lattice="3.9878 -0.0005 -0.0003 -1.9935 3.4542 0.0000 -1.9936 -1.1510 7.2414" Properties=species:S:1:pos:R:3 pbc="T T T"
Nd 0.3768 -0.2528 4.6717
Pa -1.6169 3.2017 0.6623
P -1.6168 0.8989 6.3634
Se 2.3706 0.8988 2.5652
```